#1
The following is a PBE calculation of a geometry-optimized CsBaRhPb2 structure, from Alexandria via LeMat-Bulk.

a b c (Å): 5.5191 5.5191 5.9172
angles (deg): 90.00 90.00 90.00
With the nearest neighbours (Å) after each atom.
Positions (direct):
Cs  0.5000  0.5000  0.5000  4 Ba 3.90, 8 Pb 4.05
Rh  0.0000  0.0000  0.0000  4 Pb 2.76, 2 Ba 2.96
Pb  0.5000  0.0000  0.0000  2 Rh 2.76
Pb  0.0000  0.5000  0.0000  2 Rh 2.76
Ba  0.0000  0.0000  0.5000  2 Rh 2.96

Summary:
V: 36.0 Å³/atom
Symmetry: P4/mmm (123)
Density: 7.3 g/cm³

#2
The following is a PBE calculation of a geometry-optimized CsBaRhPb2 structure, from Alexandria via LeMat-Bulk.

a b c (Å): 6.1824 6.3702 6.1824
angles (deg): 90.00 90.00 90.00
With the nearest neighbours (Å) after each atom.
Positions (direct):
Ba  0.0000  0.5000  0.0000  2 Cs 3.19
Pb  0.0000  0.0000  0.5000  2 Cs 3.09
Pb  0.5000  0.0000  0.0000  2 Cs 3.09
Cs  0.0000  0.0000  0.0000  4 Pb 3.09, 2 Ba 3.19
Rh  0.5000  0.5000  0.5000  4 Ba 4.37, 8 Pb 4.44

Summary:
V: 48.7 Å³/atom
Symmetry: P4/mmm (123)
Density: 5.4 g/cm³

In terms of stability, #1 leads; the second structure lies 1.656 eV/atom higher.

#1
The following is a PBE calculation of a geometry-optimized CsBaPd3 structure, from Alexandria via LeMat-Bulk.

a b c (Å): 5.4690 5.4690 5.4690
angles (deg): 90.00 90.00 90.00
With the nearest neighbours (Å) after each atom.
Positions (direct):
Pd  0.0000  0.0000  0.5000  2 Cs 2.73
Pd  0.0000  0.5000  0.0000  2 Cs 2.73
Pd  0.5000  0.0000  0.0000  2 Cs 2.73
Cs  0.0000  0.0000  0.0000  6 Pd 2.73
Ba  0.5000  0.5000  0.5000  12 Pd 3.87

Summary:
V: 32.7 Å³/atom
Symmetry: Pm-3m (221)
Density: 6.0 g/cm³

#2
The following is a PBE calculation of a geometry-optimized CsBaPd3 structure, from Alexandria via LeMat-Bulk.

a b c (Å): 5.7498 5.7498 5.7498
angles (deg): 90.00 90.00 90.00
With the nearest neighbours (Å) after each atom.
Positions (direct):
Pd  0.5000  0.0000  0.0000  2 Ba 2.87
Pd  0.0000  0.5000  0.0000  2 Ba 2.87
Pd  0.0000  0.0000  0.5000  2 Ba 2.87
Cs  0.5000  0.5000  0.5000  12 Pd 4.07
Ba  0.0000  0.0000  0.0000  6 Pd 2.87

Summary:
V: 38.0 Å³/atom
Symmetry: Pm-3m (221)
Density: 5.1 g/cm³

In terms of stability, #2 leads; the second structure lies 0.140 eV/atom higher.